The following is a DFT calculation (PBE) of a geometry-optimized CrInPt2 structure.

a b c (Å): 5.868 7.323 3.099
angles (deg): 90.00 90.00 90.00
Space group Cmmm (No. 65)
Inequivalent atoms, fractional coordinates:
Cr 0.000 0.000 0.000 [2 per cell]
In 0.000 0.500 0.000 [2 per cell]
Pt 0.250 0.250 0.500 [4 per cell]

As for the formation energy: -0.253 eV/atom. The density of states at the Fermi level is 0.695 states/eV/atom. The density comes out at 13.89 Mg/m³.


The following is a DFT calculation (PBE) of a geometry-optimized CrInPt2 structure.

a b c (Å): 3.448 3.448 5.681
angles (deg): 90.00 90.00 90.00
Space group P4mm (No. 99)
Inequivalent atoms, fractional coordinates:
Cr 0.000 0.000 0.000 [1 per cell]
In 0.500 0.500 0.307 [1 per cell]
Pt 0.000 0.000 0.534 [1 per cell]
Pt 0.500 0.500 0.823 [1 per cell]

As for the formation energy: -0.169 eV/atom. The density of states at the Fermi level is 0.354 states/eV/atom. The density comes out at 13.70 Mg/m³.


The following is a DFT calculation (PBE) of a geometry-optimized CrInPt2 structure.

a b c (Å): 2.977 4.677 4.786
angles (deg): 90.00 90.00 90.00
Space group Pmm2 (No. 25)
Inequivalent atoms, fractional coordinates:
Cr 0.000 0.000 0.000 [1 per cell]
In 0.000 0.500 0.577 [1 per cell]
Pt 0.500 0.000 0.480 [1 per cell]
Pt 0.500 0.500 0.071 [1 per cell]

As for the formation energy: -0.247 eV/atom. The density of states at the Fermi level is 0.760 states/eV/atom. The density comes out at 13.88 Mg/m³.


The following is a DFT calculation (PBE) of a geometry-optimized CrIn3Pt12 structure.

a b c (Å): 4.016 4.016 16.051
angles (deg): 90.00 90.00 90.00
Space group P4/mmm (No. 123)
Inequivalent atoms, fractional coordinates:
Cr 0.000 0.000 0.000 [1 per cell]
In 0.000 0.000 0.247 [2 per cell]
In 0.000 0.000 0.500 [1 per cell]
Pt 0.000 0.500 0.117 [4 per cell]
Pt 0.000 0.500 0.373 [4 per cell]
Pt 0.500 0.500 0.000 [1 per cell]
Pt 0.500 0.500 0.245 [2 per cell]
Pt 0.500 0.500 0.500 [1 per cell]

As for the formation energy: -0.350 eV/atom. The density of states at the Fermi level is 1.069 states/eV/atom. The density comes out at 17.56 Mg/m³.


The following is a DFT calculation (PBE) of a geometry-optimized CrInPt2 structure.

a b c (Å): 3.982 3.982 8.324
angles (deg): 90.00 90.00 90.00
Space group I-4m2 (No. 119)
Inequivalent atoms, fractional coordinates:
Cr 0.000 0.000 0.000 [2 per cell]
In 0.000 0.500 0.250 [2 per cell]
Pt 0.000 0.000 0.500 [2 per cell]
Pt 0.000 0.500 0.750 [2 per cell]

As for the formation energy: -0.249 eV/atom. The density of states at the Fermi level is 1.057 states/eV/atom. The density comes out at 14.02 Mg/m³.


The following is a DFT calculation (PBE) of a geometry-optimized CrInPt2 structure.

a b c (Å): 6.448 6.448 6.448
angles (deg): 90.00 90.00 90.00
Space group F-43m (No. 216)
Inequivalent atoms, fractional coordinates:
Cr 0.000 0.000 0.000 [4 per cell]
In 0.250 0.250 0.750 [4 per cell]
Pt 0.000 0.000 0.500 [4 per cell]
Pt 0.250 0.250 0.250 [4 per cell]

As for the formation energy: -0.108 eV/atom. The density of states at the Fermi level is 0.903 states/eV/atom. The density comes out at 13.80 Mg/m³.